## Si2IrO (PBEsol)

Data for a relaxed Si2IrO crystal.

## Properties
SG: I-42d (122)
D(E_F) in states/eV/f.u.: 1.1
Electronic total energy in hartree per atom: -0.26539

Lattice parameters (Å, degrees): 4.957 4.957 9.392 90.00 90.00 90.00
Atoms (fractional coordinates):
Si 0.200 0.250 0.125
Si 0.250 0.700 0.375
Si 0.250 0.800 0.875
Si 0.300 0.250 0.625
Si 0.700 0.750 0.625
Si 0.750 0.200 0.875
Si 0.750 0.300 0.375
Si 0.800 0.750 0.125
Ir 0.000 0.000 0.500
Ir 0.000 0.500 0.750
Ir 0.500 0.000 0.250
Ir 0.500 0.500 0.000
O 0.000 0.000 0.000
O 0.000 0.500 0.250
O 0.500 0.000 0.750
O 0.500 0.500 0.500